Computed, not measured: an optimized crystal structure of Er6CoTe2 at the PBE level of DFT. Values from VASP.

Properties
symmetry: No. 189
total DFT energy (no corrections): -5.189 eV/atom

```
&SYSTEM
  ibrav = 0, nat = 9, ntyp = 3
/
ATOMIC_SPECIES
Er 167.26 Er.upf
Co 58.93 Co.upf
Te 127.60 Te.upf
ATOMIC_POSITIONS angstrom
Er -1.071 0.974 -1.302
Co -1.422 -1.319 0.183
Er 1.220 -1.398 -0.593
Te -1.306 0.780 -4.526
Er 1.699 -4.895 -1.334
Te 1.937 -2.578 -3.522
Er -1.171 -2.034 -3.016
Er 0.482 -1.375 -6.153
Er -4.163 1.174 -3.149
CELL_PARAMETERS angstrom
-4.549 4.137 -5.531
5.180 -5.935 -2.517
-2.844 -2.638 0.366
```